Material: AlReSnO2
Method: DFT, GGA-PBEsol
State: relaxed

Summary:
Crystal system: tetragonal
Raw formation energy, eV per atom: -0.5543
SG: No. 123

```
AlReSnO2
1.0
3.820 0.000 0.000
0.000 3.820 0.000
0.000 0.000 5.736
Al Re O Sn
1 1 2 1
Direct
0.500 0.500 0.500
0.000 0.000 0.000
0.500 0.000 0.000
0.000 0.500 0.000
0.000 0.000 0.500
```